Density functional theory data (SCAN) for TcAgAs2 at its PBEsol-relaxed geometry.

## Properties
Calculated formation energy   0.356 eV/atom
M_tot   1.3 Bohr magnetons per cell
DOS(E_F)   2.950 states/eV/cell
Excess energy over the best structure of this formula in the dataset   56.0 meV per atom

a = 4.475 Å, b = 4.475 Å, c = 4.475 Å
α = 60.00°, β = 60.00°, γ = 60.00°
Last column: magnetic moment on the atom in μB.
Fractional coordinates of all 4 atoms:
As (0.250, 0.250, 0.250)  0.03
As (0.750, 0.750, 0.750)  0.03
Tc (0.500, 0.500, 0.500)  1.05
Ag (0.000, 0.000, 0.000)  0.04



Density functional theory data (SCAN) for TcAgAs2 at its PBEsol-relaxed geometry.

## Properties
Calculated formation energy   0.344 eV/atom
M_tot   0.0 Bohr magnetons per cell
DOS(E_F)   2.604 states/eV/cell
Excess energy over the best structure of this formula in the dataset   44.4 meV per atom

a = 2.798 Å, b = 2.798 Å, c = 9.624 Å
α = 90.00°, β = 90.00°, γ = 111.92°
Fractional coordinates of all 4 atoms:
As (0.000, 0.000, 0.028)
As (0.500, 0.500, 0.701)
Tc (0.000, 0.000, 0.509)
Ag (0.500, 0.500, 0.263)



Density functional theory data (SCAN) for TcAgAs2 at its PBEsol-relaxed geometry.

## Properties
Calculated formation energy   0.300 eV/atom
M_tot   0.0 Bohr magnetons per cell
DOS(E_F)   3.117 states/eV/cell
Excess energy over the best structure of this formula in the dataset   0.0 meV per atom

a = 2.916 Å, b = 2.916 Å, c = 8.904 Å
α = 90.00°, β = 90.00°, γ = 116.76°
Fractional coordinates of all 4 atoms:
As (0.000, 0.000, 0.279)
As (0.000, 0.000, 0.721)
Tc (0.500, 0.500, 0.500)
Ag (0.500, 0.500, 0.000)



Density functional theory data (SCAN) for TcAgAs at its PBEsol-relaxed geometry.

## Properties
Calculated formation energy   0.377 eV/atom
M_tot   0.0 Bohr magnetons per cell
DOS(E_F)   2.561 states/eV/cell
Excess energy over the best structure of this formula in the dataset   175.6 meV per atom

a = 2.817 Å, b = 2.817 Å, c = 7.046 Å
α = 97.01°, β = 97.01°, γ = 112.93°
Fractional coordinates of all 3 atoms:
As (0.313, 0.313, 0.625)
Tc (0.679, 0.679, 0.358)
Ag (0.008, 0.008, 0.016)



Density functional theory data (SCAN) for Tc2AgAs at its PBEsol-relaxed geometry.

## Properties
Calculated formation energy   0.416 eV/atom
M_tot   0.0 Bohr magnetons per cell
DOS(E_F)   2.680 states/eV/cell

a = 3.030 Å, b = 4.357 Å, c = 4.357 Å
α = 90.00°, β = 90.00°, γ = 90.00°
Fractional coordinates of all 4 atoms:
As (0.500, 0.000, 0.000)
Tc (0.000, 0.000, 0.500)
Tc (0.000, 0.500, 0.000)
Ag (0.500, 0.500, 0.500)



Density functional theory data (SCAN) for TcAgAs2 at its PBEsol-relaxed geometry.

## Properties
Calculated formation energy   0.688 eV/atom
M_tot   0.0 Bohr magnetons per cell
DOS(E_F)   2.731 states/eV/cell
Excess energy over the best structure of this formula in the dataset   388.2 meV per atom

a = 4.503 Å, b = 4.503 Å, c = 4.503 Å
α = 60.00°, β = 60.00°, γ = 60.00°
Fractional coordinates of all 4 atoms:
As (0.000, 0.000, 0.000)
As (0.750, 0.750, 0.750)
Tc (0.250, 0.250, 0.250)
Ag (0.500, 0.500, 0.500)



Density functional theory data (SCAN) for TcAgAs at its PBEsol-relaxed geometry.

## Properties
Calculated formation energy   0.202 eV/atom
M_tot   0.8 Bohr magnetons per cell
DOS(E_F)   1.534 states/eV/cell
Excess energy over the best structure of this formula in the dataset   0.0 meV per atom

a = 3.108 Å, b = 3.108 Å, c = 5.397 Å
α = 106.73°, β = 106.73°, γ = 90.00°
Last column: magnetic moment on the atom in μB.
Fractional coordinates of all 3 atoms:
As (0.309, 0.309, 0.619)  -0.01
Tc (0.692, 0.692, 0.385)  0.80
Ag (0.998, 0.998, 0.997)  0.04



Density functional theory data (SCAN) for TcAgAs at its PBEsol-relaxed geometry.

## Properties
Calculated formation energy   0.974 eV/atom
M_tot   3.6 Bohr magnetons per cell
DOS(E_F)   2.084 states/eV/cell
Excess energy over the best structure of this formula in the dataset   772.2 meV per atom

a = 4.325 Å, b = 4.325 Å, c = 4.325 Å
α = 60.00°, β = 60.00°, γ = 60.00°
Last column: magnetic moment on the atom in μB.
Fractional coordinates of all 3 atoms:
As (0.000, 0.000, 0.000)  -0.02
Tc (0.500, 0.500, 0.500)  3.24
Ag (0.750, 0.750, 0.750)  0.14



Density functional theory data (SCAN) for Tc2AgAs at its PBEsol-relaxed geometry.

## Properties
Calculated formation energy   0.585 eV/atom
M_tot   0.0 Bohr magnetons per cell
DOS(E_F)   4.018 states/eV/cell

a = 2.777 Å, b = 4.923 Å, c = 5.181 Å
α = 116.54°, β = 102.58°, γ = 96.06°
Fractional coordinates of all 4 atoms:
As (0.000, 0.500, 0.000)
Tc (0.000, 0.000, 0.500)
Tc (0.500, 0.500, 0.500)
Ag (0.500, 0.000, 0.000)



Density functional theory data (SCAN) for Ag3TeAs at its PBEsol-relaxed geometry.

## Properties
M_tot   2.0 Bohr magnetons per cell
DOS(E_F)   1.502 states/eV/cell
ΔE_f (raw)   0.710 eV/atom

a = 5.177 Å, b = 5.177 Å, c = 5.177 Å
α = 90.00°, β = 90.00°, γ = 90.00°
Last column: magnetic moment on the atom in μB.
Fractional coordinates of all 5 atoms:
As (0.500, 0.500, 0.500)  0.80
Te (0.000, 0.000, 0.000)  0.09
Ag (0.000, 0.500, 0.000)  0.05
Ag (0.000, 0.000, 0.500)  0.05
Ag (0.500, 0.000, 0.000)  0.05



Density functional theory data (SCAN) for AgTeAs2 at its PBEsol-relaxed geometry.

## Properties
M_tot   0.0 Bohr magnetons per cell
DOS(E_F)   1.433 states/eV/cell
ΔE_f (raw)   0.042 eV/atom

a = 3.820 Å, b = 4.188 Å, c = 6.251 Å
α = 109.54°, β = 107.79°, γ = 90.00°
Fractional coordinates of all 4 atoms:
As (0.758, 0.702, 0.516)
As (0.242, 0.298, 0.484)
Te (0.500, 0.500, 0.000)
Ag (0.000, 0.000, 0.000)



Density functional theory data (SCAN) for AgTeAs2 at its PBEsol-relaxed geometry.

## Properties
M_tot   0.0 Bohr magnetons per cell
DOS(E_F)   2.385 states/eV/cell
ΔE_f (raw)   0.365 eV/atom

a = 2.939 Å, b = 4.180 Å, c = 7.035 Å
α = 90.00°, β = 90.00°, γ = 90.00°
Fractional coordinates of all 4 atoms:
As (0.000, 0.000, 0.683)
As (0.000, 0.000, 0.317)
Te (0.500, 0.500, 0.000)
Ag (0.500, 0.500, 0.500)



Density functional theory data (SCAN) for AgTeAs2 at its PBEsol-relaxed geometry.

## Properties
M_tot   0.0 Bohr magnetons per cell
DOS(E_F)   2.348 states/eV/cell
ΔE_f (raw)   0.316 eV/atom

a = 2.897 Å, b = 2.897 Å, c = 10.513 Å
α = 90.00°, β = 90.00°, γ = 90.00°
Fractional coordinates of all 4 atoms:
As (0.000, 0.000, 0.692)
As (0.000, 0.000, 0.308)
Te (0.500, 0.500, 0.000)
Ag (0.500, 0.500, 0.500)



Density functional theory data (SCAN) for AgTeAs2 at its PBEsol-relaxed geometry.

## Properties
M_tot   0.0 Bohr magnetons per cell
DOS(E_F)   1.486 states/eV/cell
ΔE_f (raw)   0.269 eV/atom

a = 3.454 Å, b = 3.454 Å, c = 7.170 Å
α = 90.00°, β = 90.00°, γ = 90.00°
Fractional coordinates of all 4 atoms:
As (0.000, 0.000, 0.022)
As (0.500, 0.500, 0.169)
Te (0.000, 0.000, 0.533)
Ag (0.500, 0.500, 0.776)



Density functional theory data (SCAN) for AgTeAs2 at its PBEsol-relaxed geometry.

## Properties
M_tot   0.0 Bohr magnetons per cell
DOS(E_F)   1.911 states/eV/cell
ΔE_f (raw)   0.436 eV/atom

a = 3.993 Å, b = 3.993 Å, c = 5.263 Å
α = 90.00°, β = 90.00°, γ = 90.00°
Fractional coordinates of all 4 atoms:
As (0.000, 0.500, 0.000)
As (0.500, 0.000, 0.000)
Te (0.500, 0.500, 0.500)
Ag (0.000, 0.000, 0.500)



Density functional theory data (SCAN) for AgTeAs at its PBEsol-relaxed geometry.

## Properties
M_tot   0.0 Bohr magnetons per cell
DOS(E_F)   2.050 states/eV/cell
ΔE_f (raw)   0.461 eV/atom

a = 4.767 Å, b = 4.767 Å, c = 4.767 Å
α = 60.00°, β = 60.00°, γ = 60.00°
Fractional coordinates of all 3 atoms:
As (0.500, 0.500, 0.500)
Te (0.250, 0.250, 0.250)
Ag (0.000, 0.000, 0.000)



Density functional theory data (SCAN) for AgTeAs2 at its PBEsol-relaxed geometry.

## Properties
M_tot   0.0 Bohr magnetons per cell
DOS(E_F)   2.035 states/eV/cell
ΔE_f (raw)   0.198 eV/atom

a = 2.915 Å, b = 5.447 Å, c = 5.697 Å
α = 90.00°, β = 105.08°, γ = 90.00°
Fractional coordinates of all 4 atoms:
As (0.113, 0.000, 0.107)
As (0.131, 0.500, 0.123)
Te (0.353, 0.000, 0.589)
Ag (0.402, 0.500, 0.682)



Density functional theory data (SCAN) for AgTe2As2 at its PBEsol-relaxed geometry.

## Properties
M_tot   0.0 Bohr magnetons per cell
DOS(E_F)   3.300 states/eV/cell
ΔE_f (raw)   0.325 eV/atom

a = 3.756 Å, b = 3.756 Å, c = 8.684 Å
α = 102.49°, β = 102.49°, γ = 90.00°
Fractional coordinates of all 5 atoms:
As (0.250, 0.750, 0.500)
As (0.750, 0.250, 0.500)
Te (0.408, 0.408, 0.815)
Te (0.592, 0.592, 0.185)
Ag (0.000, 0.000, 0.000)



Density functional theory data (SCAN) for Ti3AgAs at its PBEsol-relaxed geometry.

## Properties
Calculated formation energy   0.175 eV/atom
M_tot   0.0 Bohr magnetons per cell
DOS(E_F)   3.392 states/eV/cell

a = 4.623 Å, b = 4.623 Å, c = 4.623 Å
α = 90.00°, β = 90.00°, γ = 90.00°
Fractional coordinates of all 5 atoms:
As (0.000, 0.000, 0.000)
Ag (0.500, 0.500, 0.500)
Ti (0.000, 0.500, 0.000)
Ti (0.000, 0.000, 0.500)
Ti (0.500, 0.000, 0.000)



Density functional theory data (SCAN) for TlAg2As2 at its PBEsol-relaxed geometry.

## Properties
Calculated formation energy   0.049 eV/atom
M_tot   0.0 Bohr magnetons per cell
DOS(E_F)   1.110 states/eV/cell

a = 4.516 Å, b = 4.516 Å, c = 6.171 Å
α = 111.46°, β = 111.46°, γ = 90.00°
Fractional coordinates of all 5 atoms:
Tl (0.000, 0.000, 0.000)
As (0.385, 0.385, 0.771)
As (0.615, 0.615, 0.229)
Ag (0.250, 0.750, 0.500)
Ag (0.750, 0.250, 0.500)